# 1
# CaLa2Pd2

An optimized crystal structure of CaLa2Pd2 (PBE, Alexandria).

Values from the calculation:
As for the raw total energy: -47.73 eV for the cell shown. The relative energy among the computed polymorphs is 348.8 meV per atom. Its magnetic moment is 0.0 Bohr magnetons per cell. For the calculated volume, the calculation gives 32.3 Å³ per atom. The formation energy comes out at -1.62 eV per formula unit.

Geometry as CIF:
```
data_CaLa2Pd2
_symmetry_space_group_name_H-M 'I 4/m m m'
_symmetry_Int_Tables_number 139
_symmetry_space_group_name_Hall '-I 4 2'
_cell_length_a 5.4002
_cell_length_b 5.4002
_cell_length_c 11.0624
_cell_angle_alpha 90.00
_cell_angle_beta 90.00
_cell_angle_gamma 90.00
loop_
_atom_site_label
_atom_site_type_symbol
_atom_site_fract_x
_atom_site_fract_y
_atom_site_fract_z
Ca1 Ca 0.0000 0.0000 0.0000
La1 La 0.0000 0.0000 0.3355
Pd1 Pd 0.0000 0.5000 0.2500
```



# 2
# YFeMo

An optimized crystal structure of YFeMo (PBE, Alexandria).

Values from the calculation:
As for the raw total energy: -25.09 eV for the cell shown. The relative energy among the computed polymorphs is 185.8 meV per atom. Its magnetic moment is 0.0 Bohr magnetons per cell. For the calculated volume, the calculation gives 20.2 Å³ per atom. The formation energy comes out at 0.67 eV per formula unit.

Geometry as CIF:
```
data_YFeMo
_symmetry_space_group_name_H-M 'P 3 m 1'
_symmetry_Int_Tables_number 156
_symmetry_space_group_name_Hall 'P 3 -2"'
_cell_length_a 3.9395
_cell_length_b 3.9395
_cell_length_c 4.5060
_cell_angle_alpha 90.00
_cell_angle_beta 90.00
_cell_angle_gamma 120.00
loop_
_atom_site_label
_atom_site_type_symbol
_atom_site_fract_x
_atom_site_fract_y
_atom_site_fract_z
Y1 Y 0.0000 0.0000 0.0000
Fe1 Fe 0.6667 0.3333 0.4852
Mo1 Mo 0.3333 0.6667 0.5051
```



# 3
# SrCr2Se

An optimized crystal structure of SrCr2Se (PBE, Alexandria).

Values from the calculation:
The uncorrected formation energy is -0.0494 eV/atom. As for the raw total energy: -24.61 eV for the cell shown. Its magnetic moment is 0.1 Bohr magnetons per cell. For the calculated volume, the calculation gives 22.4 Å³ per atom.

Geometry as CIF:
```
data_SrCr2Se
_symmetry_space_group_name_H-M 'P 4 m m'
_symmetry_Int_Tables_number 99
_symmetry_space_group_name_Hall 'P 4 -2'
_cell_length_a 3.6212
_cell_length_b 3.6212
_cell_length_c 6.8466
_cell_angle_alpha 90.00
_cell_angle_beta 90.00
_cell_angle_gamma 90.00
loop_
_atom_site_label
_atom_site_type_symbol
_atom_site_fract_x
_atom_site_fract_y
_atom_site_fract_z
Sr1 Sr 0.0000 0.0000 0.0000
Cr1 Cr 0.0000 0.0000 0.4883
Cr2 Cr 0.5000 0.5000 0.3642
Se1 Se 0.5000 0.5000 0.7388
```



# 4
# Y2CuSe

An optimized crystal structure of Y2CuSe (PBE, Alexandria).

Values from the calculation:
The uncorrected formation energy is -0.5035 eV/atom. As for the raw total energy: -67.57 eV for the cell shown. The relative energy among the computed polymorphs is 521.7 meV per atom. Its magnetic moment is 2.7 Bohr magnetons per cell. For the calculated volume, the calculation gives 24.9 Å³ per atom.

Geometry as CIF:
```
data_Y2CuSe
_symmetry_space_group_name_H-M 'R 3 m'
_symmetry_Int_Tables_number 160
_symmetry_space_group_name_Hall 'R 3 -2"'
_cell_length_a 3.8826
_cell_length_b 3.8826
_cell_length_c 22.8817
_cell_angle_alpha 90.00
_cell_angle_beta 90.00
_cell_angle_gamma 120.00
loop_
_atom_site_label
_atom_site_type_symbol
_atom_site_fract_x
_atom_site_fract_y
_atom_site_fract_z
Y1 Y 0.0000 0.0000 0.0000
Y2 Y 0.0000 0.0000 0.2058
Cu1 Cu 0.0000 0.0000 0.7475
Se1 Se 0.0000 0.0000 0.4554
```



# 5
# RbPdF2

An optimized crystal structure of RbPdF2 (PBE, Alexandria).

Values from the calculation:
The uncorrected formation energy is -1.2123 eV/atom. As for the raw total energy: -59.01 eV for the cell shown. The relative energy among the computed polymorphs is 343.4 meV per atom. Its magnetic moment is 4.0 Bohr magnetons per cell. For the calculated volume, the calculation gives 16.8 Å³ per atom.

Geometry as CIF:
```
data_RbPdF2
_symmetry_space_group_name_H-M 'F m -3 m'
_symmetry_Int_Tables_number 225
_symmetry_space_group_name_Hall '-F 4 2 3'
_cell_length_a 6.4586
_cell_length_b 6.4586
_cell_length_c 6.4586
_cell_angle_alpha 90.00
_cell_angle_beta 90.00
_cell_angle_gamma 90.00
loop_
_atom_site_label
_atom_site_type_symbol
_atom_site_fract_x
_atom_site_fract_y
_atom_site_fract_z
Rb1 Rb 0.0000 0.0000 0.0000
Pd1 Pd 0.0000 0.0000 0.5000
F1 F 0.2500 0.2500 0.2500
```



# 6
# Pu3P

An optimized crystal structure of Pu3P (PBE, Alexandria).

Values from the calculation:
As for the raw total energy: -100.28 eV for the cell shown. The relative energy among the computed polymorphs is 0.0 meV per atom. Its magnetic moment is 9.4 Bohr magnetons per cell. For the calculated volume, the calculation gives 19.6 Å³ per atom. The formation energy comes out at -1.73 eV per formula unit.

Geometry as CIF:
```
data_Pu3P
_symmetry_space_group_name_H-M 'I 4/m m m'
_symmetry_Int_Tables_number 139
_symmetry_space_group_name_Hall '-I 4 2'
_cell_length_a 4.2561
_cell_length_b 4.2561
_cell_length_c 8.6410
_cell_angle_alpha 90.00
_cell_angle_beta 90.00
_cell_angle_gamma 90.00
loop_
_atom_site_label
_atom_site_type_symbol
_atom_site_fract_x
_atom_site_fract_y
_atom_site_fract_z
Pu1 Pu 0.0000 0.0000 0.0000
Pu2 Pu 0.0000 0.5000 0.2500
P1 P 0.0000 0.0000 0.5000
```